Material: Y3ErTh2As6
Method: DFT, PBE-GGA
State: optimized geometry

Results
- Symmetry: C2/m (12)

Structure (CIF):
```
data_Y3ErTh2As6
_symmetry_space_group_name_H-M 'P 1'
_symmetry_Int_Tables_number 1
_cell_length_a 9.3080
_cell_length_b 9.3080
_cell_length_c 8.3145
_cell_angle_alpha 102.82
_cell_angle_beta 102.82
_cell_angle_gamma 25.92
loop_
_symmetry_equiv_pos_as_xyz
'x,y,z'
loop_
_atom_site_label
_atom_site_type_symbol
_atom_site_fract_x
_atom_site_fract_y
_atom_site_fract_z
Y1 Y 0.0000 0.0000 0.0000
Y2 Y 0.3336 0.3336 0.6660
Y3 Y 0.6664 0.6664 0.3340
Er1 Er 0.0000 0.0000 0.5000
Th1 Th 0.3353 0.3353 0.1702
Th2 Th 0.6647 0.6647 0.8298
As1 As 0.1654 0.1654 0.0869
As2 As 0.1656 0.1656 0.5771
As3 As 0.4980 0.4980 0.7468
As4 As 0.5020 0.5020 0.2532
As5 As 0.8344 0.8344 0.4229
As6 As 0.8346 0.8346 0.9131
```

---

Material: YEr3Th2As6
Method: DFT, PBE-GGA
State: optimized geometry

Results
- Symmetry: C2/m (12)

Structure (CIF):
```
data_YEr3Th2As6
_symmetry_space_group_name_H-M 'P 1'
_symmetry_Int_Tables_number 1
_cell_length_a 9.2715
_cell_length_b 9.2715
_cell_length_c 8.2820
_cell_angle_alpha 102.74
_cell_angle_beta 102.74
_cell_angle_gamma 25.93
loop_
_symmetry_equiv_pos_as_xyz
'x,y,z'
loop_
_atom_site_label
_atom_site_type_symbol
_atom_site_fract_x
_atom_site_fract_y
_atom_site_fract_z
Y1 Y 0.0000 0.0000 0.0000
Er1 Er 0.0000 0.0000 0.5000
Er2 Er 0.3338 0.3338 0.1660
Er3 Er 0.6662 0.6662 0.8340
Th1 Th 0.3351 0.3351 0.6699
Th2 Th 0.6649 0.6649 0.3301
As1 As 0.1647 0.1647 0.5889
As2 As 0.1671 0.1671 0.0759
As3 As 0.4974 0.4974 0.2508
As4 As 0.5026 0.5026 0.7492
As5 As 0.8329 0.8329 0.9241
As6 As 0.8353 0.8353 0.4111
```

---

Material: Er2ThZrAs4
Method: DFT, PBE-GGA
State: optimized geometry

Results
- Symmetry: P2/m (10)

Structure (CIF):
```
data_Er2ThZrAs4
_symmetry_space_group_name_H-M 'P 1'
_symmetry_Int_Tables_number 1
_cell_length_a 7.0520
_cell_length_b 4.0768
_cell_length_c 7.0654
_cell_angle_alpha 90.00
_cell_angle_beta 109.43
_cell_angle_gamma 90.00
loop_
_symmetry_equiv_pos_as_xyz
'x,y,z'
loop_
_atom_site_label
_atom_site_type_symbol
_atom_site_fract_x
_atom_site_fract_y
_atom_site_fract_z
Er1 Er 0.0000 0.0000 0.0000
Er2 Er 0.5000 0.5000 0.0000
Th1 Th 0.0000 0.5000 0.5000
Zr1 Zr 0.5000 0.0000 0.5000
As1 As 0.2617 0.5000 0.2538
As2 As 0.2629 0.0000 0.7545
As3 As 0.7371 0.0000 0.2455
As4 As 0.7383 0.5000 0.7462
```

---

Material: ErTh2ZrAs4
Method: DFT, PBE-GGA
State: optimized geometry

Results
- Symmetry: P2/m (10)

Structure (CIF):
```
data_ErTh2ZrAs4
_symmetry_space_group_name_H-M 'P 1'
_symmetry_Int_Tables_number 1
_cell_length_a 7.0808
_cell_length_b 4.1209
_cell_length_c 7.1556
_cell_angle_alpha 90.00
_cell_angle_beta 109.53
_cell_angle_gamma 90.00
loop_
_symmetry_equiv_pos_as_xyz
'x,y,z'
loop_
_atom_site_label
_atom_site_type_symbol
_atom_site_fract_x
_atom_site_fract_y
_atom_site_fract_z
Er1 Er 0.0000 0.0000 0.0000
Th1 Th 0.5000 0.0000 0.5000
Th2 Th 0.5000 0.5000 0.0000
Zr1 Zr 0.0000 0.5000 0.5000
As1 As 0.2308 0.0000 0.7395
As2 As 0.2338 0.5000 0.2490
As3 As 0.7662 0.5000 0.7510
As4 As 0.7692 0.0000 0.2605
```

---

Material: ErTiAs2
Method: DFT, PBE-GGA
State: optimized geometry

Results
- Symmetry: R-3m (166)
- ΔE to the lowest computed polymorph: 0.00 eV/f.u.

Structure (CIF):
```
data_ErTiAs2
_symmetry_space_group_name_H-M 'P 1'
_symmetry_Int_Tables_number 1
_cell_length_a 6.7291
_cell_length_b 6.7291
_cell_length_c 6.7291
_cell_angle_alpha 33.30
_cell_angle_beta 33.30
_cell_angle_gamma 33.30
loop_
_symmetry_equiv_pos_as_xyz
'x,y,z'
loop_
_atom_site_label
_atom_site_type_symbol
_atom_site_fract_x
_atom_site_fract_y
_atom_site_fract_z
Er1 Er 0.0000 0.0000 0.0000
Ti1 Ti 0.5000 0.5000 0.5000
As1 As 0.2413 0.2413 0.2413
As2 As 0.7587 0.7587 0.7587
```

---

Material: ErTiAs2
Method: DFT, PBE-GGA
State: optimized geometry

Results
- Symmetry: R3m (160)
- ΔE to the lowest computed polymorph: 0.34 eV/f.u.

Structure (CIF):
```
data_ErTiAs2
_symmetry_space_group_name_H-M 'P 1'
_symmetry_Int_Tables_number 1
_cell_length_a 6.9552
_cell_length_b 6.9552
_cell_length_c 6.9552
_cell_angle_alpha 31.75
_cell_angle_beta 31.75
_cell_angle_gamma 31.75
loop_
_symmetry_equiv_pos_as_xyz
'x,y,z'
loop_
_atom_site_label
_atom_site_type_symbol
_atom_site_fract_x
_atom_site_fract_y
_atom_site_fract_z
Er1 Er 0.0000 0.0000 0.0000
Ti1 Ti 0.8257 0.8257 0.8257
As1 As 0.2368 0.2368 0.2368
As2 As 0.4240 0.4240 0.4240
```

---

Material: Er2TlAs
Method: DFT, PBE-GGA
State: optimized geometry

Results
- Symmetry: R3m (160)
- ΔE to the lowest computed polymorph: 0.22 eV/f.u.

Structure (CIF):
```
data_Er2TlAs
_symmetry_space_group_name_H-M 'P 1'
_symmetry_Int_Tables_number 1
_cell_length_a 8.4479
_cell_length_b 8.4479
_cell_length_c 8.4479
_cell_angle_alpha 26.81
_cell_angle_beta 26.81
_cell_angle_gamma 26.81
loop_
_symmetry_equiv_pos_as_xyz
'x,y,z'
loop_
_atom_site_label
_atom_site_type_symbol
_atom_site_fract_x
_atom_site_fract_y
_atom_site_fract_z
Er1 Er 0.0000 0.0000 0.0000
Er2 Er 0.1960 0.1960 0.1960
Tl1 Tl 0.7646 0.7646 0.7646
As1 As 0.5969 0.5969 0.5969
```

---

Material: ErTlAs2
Method: DFT, PBE-GGA
State: optimized geometry

Results
- Symmetry: R-3m (166)

Structure (CIF):
```
data_ErTlAs2
_symmetry_space_group_name_H-M 'P 1'
_symmetry_Int_Tables_number 1
_cell_length_a 7.2563
_cell_length_b 7.2563
_cell_length_c 7.2563
_cell_angle_alpha 33.64
_cell_angle_beta 33.64
_cell_angle_gamma 33.64
loop_
_symmetry_equiv_pos_as_xyz
'x,y,z'
loop_
_atom_site_label
_atom_site_type_symbol
_atom_site_fract_x
_atom_site_fract_y
_atom_site_fract_z
Er1 Er 0.0000 0.0000 0.0000
Tl1 Tl 0.5000 0.5000 0.5000
As1 As 0.2574 0.2574 0.2574
As2 As 0.7426 0.7426 0.7426
```

---

Number 1: formation energy -1503 meV per atom. Number 2: formation energy -1489 meV per atom. Number 3: formation energy -1354 meV per atom. Number 4: formation energy -1338 meV per atom. Number 5: formation energy -1142 meV per atom. Number 6: formation energy -1057 meV per atom. Number 7: formation energy -824 meV per atom. Number 8: formation energy -450 meV per atom.